[1]
Here is an optimized crystal structure of ZrAs4Os from Alexandria. Energies are from PBE.

The formation enthalpy at 0 K is 0.607 eV/atom. The total energy comes out at -5.79 eV per atom. As for the size of the total moment: 0.00 Bohr magnetons per cell.

It has space group F-43m (No. 216), with a = 7.601 Å, b = 7.601 Å, c = 7.601 Å, α = 90.00°, β = 90.00° and γ = 90.00°. The distinct sites, in fractional coordinates, are Zr at (0.000, 0.000, 0.000), As at (0.125, 0.125, 0.625) and Os at (0.250, 0.250, 0.250).

[2]
Here is an optimized crystal structure of LaHo2Ir from Alexandria. Energies are from PBE.

Its energy above the most stable polymorph in this dataset is 0.115 eV/atom. The formation enthalpy at 0 K is -0.444 eV/atom. The total energy comes out at -6.18 eV per atom. As for the size of the total moment: 0.00 Bohr magnetons per cell.

It has space group P4/mmm (No. 123), with a = 3.491 Å, b = 3.491 Å, c = 8.987 Å, α = 90.00°, β = 90.00° and γ = 90.00°. The distinct sites, in fractional coordinates, are La at (0.000, 0.000, 0.000), Ho at (0.500, 0.500, 0.321) and Ir at (0.000, 0.000, 0.500).

[3]
Here is an optimized crystal structure of Ag12Se5Cl2 from Alexandria. Energies are from PBE.

The total energy comes out at -3.03 eV per atom. The calculation puts the uncorrected formation energy at -11.2 kJ/mol of atoms. As for the size of the total moment: 0.00 Bohr magnetons per cell.

It has space group C2/m (No. 12), with a = 13.339 Å, b = 8.095 Å, c = 8.439 Å, α = 90.00°, β = 111.00° and γ = 90.00°. The distinct sites, in fractional coordinates, are Ag at (0.010, 0.000, 0.213), Ag at (0.091, 0.500, 0.341), Ag at (0.129, 0.242, 0.047), Ag at (0.206, 0.177, 0.619), Se at (0.000, 0.500, 0.000), Se at (0.197, 0.000, 0.895), Se at (0.217, 0.000, 0.339) and Cl at (0.000, 0.284, 0.500).

[4]
Here is an optimized crystal structure of SiNi from Alexandria. Energies are from PBE.

The total energy comes out at -5.71 eV per atom. The calculation puts the uncorrected formation energy at -10.4 kJ/mol of atoms. As for the size of the total moment: 0.00 Bohr magnetons per cell.

It has space group P4/nmm (No. 129, origin choice 2), with a = 2.622 Å, b = 2.622 Å, c = 6.984 Å, α = 90.00°, β = 90.00° and γ = 90.00°. The distinct sites, in fractional coordinates, are Si at (0.250, 0.250, 0.158) and Ni at (0.250, 0.250, 0.630).